(1)
Sr2GeIr: relaxed, PBE-GGA.

It has space group I-42d (No. 122), with a = 11.269 Å, b = 11.269 Å, c = 4.727 Å, α = 90.00°, β = 90.00° and γ = 90.00°. The distinct sites, in fractional coordinates, are Sr at (0.070, 0.750, 0.125), Ge at (0.000, 0.000, 0.500) and Ir at (0.000, 0.000, 0.000).

For the formation energy, the calculation gives -133.1 kJ/mol of formula units. The value obtained for the density of states at the Fermi level is 0.50 states/eV per atom.



(2)
Ga4Ni15Sb: relaxed, PBE-GGA.

It has space group P4/mmm (No. 123), with a = 3.624 Å, b = 3.624 Å, c = 17.956 Å, α = 90.00°, β = 90.00° and γ = 90.00°. The distinct sites, in fractional coordinates, are Ga at (0.000, 0.000, 0.098), Ga at (0.000, 0.000, 0.294), Ni at (0.000, 0.500, 0.000), Ni at (0.000, 0.500, 0.196), Ni at (0.000, 0.500, 0.393), Ni at (0.500, 0.500, 0.098), Ni at (0.500, 0.500, 0.296), Ni at (0.500, 0.500, 0.500) and Sb at (0.000, 0.000, 0.500).

As for the energy relative to the elements, uncorrected: -0.263 eV per atom. The value obtained for the density of states at the Fermi level is 1.00 states/eV per atom.



(3)
Rb2LiHCl6: relaxed, PBE-GGA.

It has space group I4/mmm (No. 139), with a = 7.630 Å, b = 7.630 Å, c = 9.094 Å, α = 90.00°, β = 90.00° and γ = 90.00°. The distinct sites, in fractional coordinates, are Rb at (0.000, 0.500, 0.250), Li at (0.000, 0.000, 0.000), H at (0.000, 0.000, 0.500), Cl at (0.000, 0.000, 0.328) and Cl at (0.221, 0.221, 0.000).

The value obtained for the raw total energy is -2.8703 eV per atom. The value obtained for the density of states at the Fermi level is 0.73 states/eV per atom.



(4)
NdPaS2: relaxed, PBE-GGA.

It has space group R-3m (No. 166, hexagonal axes), with a = 3.9515 Å, b = 3.9515 Å, c = 19.7529 Å, α = 90.00°, β = 90.00° and γ = 120.00°. The distinct sites, in fractional coordinates, are Nd at (0.0000, 0.0000, 0.0000), Pa at (0.0000, 0.0000, 0.5000) and S at (0.0000, 0.0000, 0.2465).

For the excess energy over the best structure of this formula in the dataset, the calculation gives 0 meV/atom. As for the energy relative to the elements, uncorrected: -1.775 eV per atom. The value obtained for the density of states at the Fermi level is 1.16 states/eV per atom.



(5)
Sr3SnN: relaxed, PBE-GGA.

It has space group R-3m (No. 166, hexagonal axes), with a = 7.2407 Å, b = 7.2407 Å, c = 19.4612 Å, α = 90.00°, β = 90.00° and γ = 120.00°. The distinct sites, in fractional coordinates, are Sr at (0.0056, 0.5028, 0.4195), Sn at (0.0000, 0.0000, 0.4158) and N at (0.0000, 0.0000, 0.1676).

As for the energy relative to the elements, uncorrected: -0.474 eV per atom. The value obtained for the density of states at the Fermi level is 0.47 states/eV per atom.



(6)
Ta2TiTeSe: relaxed, PBE-GGA.

It has space group P4/mmm (No. 123), with a = 4.994 Å, b = 4.994 Å, c = 4.521 Å, α = 90.00°, β = 90.00° and γ = 90.00°. The distinct sites, in fractional coordinates, are Ta at (0.000, 0.500, 0.000), Ti at (0.000, 0.000, 0.000), Te at (0.500, 0.500, 0.500) and Se at (0.000, 0.000, 0.500).

As for the energy relative to the elements, uncorrected: 0.946 eV per atom. The value obtained for the density of states at the Fermi level is 1.09 states/eV per atom.



(7)
MgReSb2: relaxed, PBE-GGA.

It has space group C2/m (No. 12), with a = 8.713 Å, b = 3.447 Å, c = 5.670 Å, α = 90.00°, β = 99.69° and γ = 90.00°. The distinct sites, in fractional coordinates, are Mg at (0.000, 0.000, 0.000), Re at (0.000, 0.500, 0.500) and Sb at (0.231, 0.000, 0.722).

As for the energy relative to the elements, uncorrected: 0.310 eV per atom. The value obtained for the density of states at the Fermi level is 0.56 states/eV per atom.



(8)
RbHf3Bi: relaxed, PBE-GGA.

It has space group Pm-3m (No. 221), with a = 5.583 Å, b = 5.583 Å, c = 5.583 Å, α = 90.00°, β = 90.00° and γ = 90.00°. The distinct sites, in fractional coordinates, are Rb at (0.000, 0.000, 0.000), Hf at (0.000, 0.500, 0.500) and Bi at (0.500, 0.500, 0.500).

For the formation energy, the calculation gives 699.3 kJ/mol of formula units. For the excess energy over the best structure of this formula in the dataset, the calculation gives 0 meV/atom. The value obtained for the density of states at the Fermi level is 1.88 states/eV per atom.



(9)
TcS2Cl2F2: relaxed, PBE-GGA.

It has space group C2/m (No. 12), with a = 13.525 Å, b = 3.292 Å, c = 10.125 Å, α = 90.00°, β = 131.75° and γ = 90.00°. The distinct sites, in fractional coordinates, are Tc at (0.000, 0.000, 0.000), S at (0.073, 0.000, 0.507), Cl at (0.121, 0.500, 0.983) and F at (0.137, 0.000, 0.255).

As for the energy relative to the elements, uncorrected: -0.835 eV per atom. The value obtained for the density of states at the Fermi level is 0.46 states/eV per atom.



(10)
TiMn2Cl8: relaxed, PBE-GGA.

It has space group C2/m (No. 12), with a = 15.641 Å, b = 6.937 Å, c = 6.143 Å, α = 90.00°, β = 95.23° and γ = 90.00°. The distinct sites, in fractional coordinates, are Ti at (0.000, 0.000, 0.000), Mn at (0.153, 0.000, 0.445), Cl at (0.061, 0.238, 0.242), Cl at (0.130, 0.000, 0.822) and Cl at (0.210, 0.500, 0.631).

As for the energy relative to the elements, uncorrected: -1.205 eV per atom.



(11)
InAuBr2: relaxed, PBE-GGA.

It has space group Cmmm (No. 65), with a = 4.211 Å, b = 7.200 Å, c = 8.240 Å, α = 90.00°, β = 90.00° and γ = 90.00°. The distinct sites, in fractional coordinates, are In at (0.000, 0.000, 0.000), Au at (0.000, 0.000, 0.500) and Br at (0.000, 0.500, 0.282).

For the excess energy over the best structure of this formula in the dataset, the calculation gives 257 meV/atom. As for the energy relative to the elements, uncorrected: -0.157 eV per atom. The value obtained for the density of states at the Fermi level is 0.12 states/eV per atom.



(12)
SbOsSeI2: relaxed, PBE-GGA.

It has space group P4/mmm (No. 123), with a = 5.358 Å, b = 5.358 Å, c = 5.149 Å, α = 90.00°, β = 90.00° and γ = 90.00°. The distinct sites, in fractional coordinates, are Sb at (0.000, 0.000, 0.000), Os at (0.000, 0.000, 0.500), Se at (0.500, 0.500, 0.000) and I at (0.000, 0.500, 0.500).

For the excess energy over the best structure of this formula in the dataset, the calculation gives 0 meV/atom. As for the energy relative to the elements, uncorrected: 0.797 eV per atom. The value obtained for the density of states at the Fermi level is 1.23 states/eV per atom.



(13)
SiPtSeN2: relaxed, PBE-GGA.

It has space group P4/mmm (No. 123), with a = 3.459 Å, b = 3.459 Å, c = 7.757 Å, α = 90.00°, β = 90.00° and γ = 90.00°. The distinct sites, in fractional coordinates, are Si at (0.000, 0.000, 0.000), Pt at (0.500, 0.500, 0.500), Se at (0.000, 0.000, 0.500) and N at (0.000, 0.500, 0.000).

For the excess energy over the best structure of this formula in the dataset, the calculation gives 0 meV/atom. As for the energy relative to the elements, uncorrected: 0.608 eV per atom. The value obtained for the density of states at the Fermi level is 0.54 states/eV per atom.



(14)
Y3Tc: relaxed, PBE-GGA.

It has space group P2/m (No. 10), with a = 3.568 Å, b = 4.556 Å, c = 6.603 Å, α = 90.00°, β = 105.59° and γ = 90.00°. The distinct sites, in fractional coordinates, are Y at (0.000, 0.000, 0.000), Y at (0.330, 0.500, 0.715) and Tc at (0.500, 0.000, 0.500).

For the formation energy, the calculation gives 70.9 kJ/mol of formula units. The value obtained for the density of states at the Fermi level is 1.15 states/eV per atom.



(15)
SrY2MgPt: relaxed, PBE-GGA.

It has space group P4/mmm (No. 123), with a = 5.507 Å, b = 5.507 Å, c = 5.306 Å, α = 90.00°, β = 90.00° and γ = 90.00°. The distinct sites, in fractional coordinates, are Sr at (0.000, 0.000, 0.000), Y at (0.000, 0.500, 0.500), Mg at (0.500, 0.500, 0.000) and Pt at (0.500, 0.500, 0.500).

For the formation energy, the calculation gives -196.5 kJ/mol of formula units. The value obtained for the density of states at the Fermi level is 0.77 states/eV per atom.



(16)
ScAl: relaxed, PBE-GGA.

It has space group Pm-3m (No. 221), with a = 5.503 Å, b = 5.503 Å, c = 5.503 Å, α = 90.00°, β = 90.00° and γ = 90.00°. The distinct sites, in fractional coordinates, are Sc at (0.000, 0.000, 0.500) and Al at (0.000, 0.500, 0.500).

For the formation energy, the calculation gives 104.2 kJ/mol of formula units. The value obtained for the density of states at the Fermi level is 1.60 states/eV per atom.



(17)
TcSb2Te: relaxed, PBE-GGA.

It has space group Pm (No. 6), with a = 4.606 Å, b = 4.347 Å, c = 5.752 Å, α = 90.00°, β = 94.00° and γ = 90.00°. The distinct sites, in fractional coordinates, are Tc at (0.000, 0.000, 0.000), Sb at (0.481, 0.000, 0.280), Sb at (0.922, 0.500, 0.259) and Te at (0.163, 0.500, 0.747).

For the excess energy over the best structure of this formula in the dataset, the calculation gives 244 meV/atom. As for the energy relative to the elements, uncorrected: 0.303 eV per atom. The value obtained for the density of states at the Fermi level is 0.65 states/eV per atom.



(18)
Y12Cu3N5: relaxed, PBE-GGA.

It has space group Ia-3d (No. 230), with a = 15.273 Å, b = 15.273 Å, c = 15.273 Å, α = 90.00°, β = 90.00° and γ = 90.00°. The distinct sites, in fractional coordinates, are Y at (0.033, 0.053, 0.650), Cu at (0.000, 0.250, 0.125), N at (0.000, 0.000, 0.000) and N at (0.000, 0.250, 0.375).

As for the energy relative to the elements, uncorrected: -0.736 eV per atom. The value obtained for the density of states at the Fermi level is 0.97 states/eV per atom.



(19)
CdSbO: relaxed, PBE-GGA.

It has space group P1 (No. 1), with a = 3.084 Å, b = 3.181 Å, c = 6.499 Å, α = 76.47°, β = 77.69° and γ = 89.93°. The distinct sites, in fractional coordinates, are Cd at (0.000, 0.000, 0.000), Sb at (0.289, 0.266, 0.502) and O at (0.429, 0.425, 0.157).

For the excess energy over the best structure of this formula in the dataset, the calculation gives 139 meV/atom. As for the energy relative to the elements, uncorrected: -0.505 eV per atom. The value obtained for the density of states at the Fermi level is 0.39 states/eV per atom.



(20)
Rb2ScMnBr: relaxed, PBE-GGA.

It has space group P4/mmm (No. 123), with a = 7.126 Å, b = 7.126 Å, c = 4.604 Å, α = 90.00°, β = 90.00° and γ = 90.00°. The distinct sites, in fractional coordinates, are Rb at (0.000, 0.500, 0.000), Sc at (0.000, 0.000, 0.000), Mn at (0.000, 0.000, 0.500) and Br at (0.500, 0.500, 0.500).

As for the energy relative to the elements, uncorrected: 0.449 eV per atom. The value obtained for the density of states at the Fermi level is 1.04 states/eV per atom.



Going through the records in order, we get spin magnetization values of 0.00; 2.76; 4.00; 0.00; 1.29; 0.00; 0.00; 0.00; 6.54; 20.00; 0.00; 0.00; 0.00; 0.00; 0.00; 0.00; 0.00; 0.00; 0.00; 3.71 Bohr magnetons per cell.